Here is an optimized crystal structure of CaCoW3 from Alexandria via LeMat-Bulk. Energies are from PBE-GGA. Values from VASP.

Geometry as Quantum ESPRESSO input:
```
&SYSTEM
  ibrav = 0, nat = 5, ntyp = 3
/
ATOMIC_SPECIES
Ca 40.08 Ca.upf
Co 58.93 Co.upf
W 183.84 W.upf
ATOMIC_POSITIONS crystal
Ca 0.000 0.000 0.000
Co 0.500 0.500 0.500
W 0.000 0.000 0.500
W 0.000 0.500 0.000
W 0.500 0.000 0.000
CELL_PARAMETERS angstrom
4.531 0.000 0.000
0.000 4.531 0.000
0.000 0.000 4.531
```

***

Here is an optimized crystal structure of CaYCo2 from Alexandria via LeMat-Bulk. Energies are from PBE-GGA. Values from VASP.

Geometry as Quantum ESPRESSO input:
```
&SYSTEM
  ibrav = 0, nat = 4, ntyp = 3
/
ATOMIC_SPECIES
Ca 40.08 Ca.upf
Y 88.91 Y.upf
Co 58.93 Co.upf
ATOMIC_POSITIONS crystal
Ca 0.000 0.000 0.000
Y 0.500 0.500 0.500
Co 0.250 0.250 0.250
Co 0.750 0.750 0.750
CELL_PARAMETERS angstrom
0.000 3.346 3.346
3.346 0.000 3.346
3.346 3.346 0.000
```

***

Here is an optimized crystal structure of CaYCo4 from Alexandria via LeMat-Bulk. Energies are from PBE-GGA. Values from VASP.

Geometry as Quantum ESPRESSO input:
```
&SYSTEM
  ibrav = 0, nat = 6, ntyp = 3
/
ATOMIC_SPECIES
Ca 40.08 Ca.upf
Y 88.91 Y.upf
Co 58.93 Co.upf
ATOMIC_POSITIONS crystal
Ca 0.000 0.000 0.000
Y 0.750 0.750 0.750
Co 0.375 0.375 0.375
Co 0.375 0.375 0.874
Co 0.375 0.874 0.375
Co 0.874 0.375 0.375
CELL_PARAMETERS angstrom
0.000 3.604 3.604
3.604 0.000 3.604
3.604 3.604 0.000
```

***

E across the listed records, respectively: -6.125, -5.461, -6.184 eV/atom.
Density of states at the Fermi level across the listed records, respectively: 12.17, 4.27, 9.33 states/eV per cell.